Here is an optimized crystal structure of AgHg from Alexandria via LeMat-Bulk. Energies are from GGA-PBE.

a = 7.9513 Å, b = 7.9513 Å, c = 7.9513 Å
α = 90.00°, β = 90.00°, γ = 90.00°
Space group Pm-3n (No. 223)
Unique sites:
Ag  0.0000  0.2500  0.5000 x6
Hg  0.0000  0.5000  0.2500 x6

Results
For the density of states at the Fermi level, the calculation gives 4.2 states/eV/cell. The total energy comes out at -1.12 eV per atom. The value obtained for the magnetization is 0.00 μB/cell. The crystal system is cubic. The value obtained for the formation enthalpy at 0 K is 44.1 kJ/mol of atoms.